No. 1
DFT (PBE) results for an optimized crystal structure of SiSnSeBr2.

## Properties
**Total magnetic moment**: 0.0 Bohr magnetons per cell
**Energy above the lowest structure with this stoichiometry**: 0 meV/atom
**Raw formation energy**: -0.0606 eV/atom
**V**: 135 Å³/cell
**Symmetry**: P4/mmm, No. 123

Lattice parameters (Å, degrees): 5.0962 5.0962 5.1933 90.00 90.00 90.00
Element x y z (fractional)
Br1 0.0000 0.5000 0.0000
Br2 0.5000 0.0000 0.0000
Si1 0.0000 0.0000 0.0000
Se1 0.0000 0.0000 0.5000
Sn1 0.5000 0.5000 0.5000

=====

No. 2
DFT (PBE) results for an optimized crystal structure of SiSnSeBr2.

## Properties
**Total magnetic moment**: 0.6 Bohr magnetons per cell
**Energy above the lowest structure with this stoichiometry**: 431 meV/atom
**Raw formation energy**: 0.3701 eV/atom
**V**: 165 Å³/cell
**Symmetry**: P4/mmm, No. 123

Lattice parameters (Å, degrees): 5.4937 5.4937 5.4789 90.00 90.00 90.00
Element x y z (fractional)
Si1 0.5000 0.5000 0.5000
Sn1 0.0000 0.0000 0.0000
Se1 0.0000 0.0000 0.5000
Br1 0.5000 0.0000 0.0000
Br2 0.0000 0.5000 0.0000